Below is a relaxed structure of Pr2SmBi, with properties calculated at the GGA-PBE level.

```
data_Pr2SmBi
_symmetry_space_group_name_H-M 'P 1 21/m 1'
_symmetry_Int_Tables_number 11
_cell_length_a 4.721
_cell_length_b 4.721
_cell_length_c 12.224
_cell_angle_alpha 90.00
_cell_angle_beta 101.11
_cell_angle_gamma 90.00
loop_
_symmetry_equiv_pos_as_xyz
'x,y,z'
'-x,-y,-z'
'-x,y+1/2,-z'
'x,-y+1/2,z'
loop_
_atom_site_label
_atom_site_type_symbol
_atom_site_fract_x
_atom_site_fract_y
_atom_site_fract_z
Pr1 Pr 0.060 0.250 0.120
Pr2 Pr 0.433 0.250 0.867
Sm1 Sm 0.306 0.750 0.612
Bi1 Bi 0.171 0.750 0.343
```

The value obtained for the formation energy is -432 meV/atom. Its size of the total moment is 0.00 μB per atom. The value obtained for the calculated density is 7.96 g cm⁻³. As for the density of states at the Fermi level: 8.37 states/eV per cell. For the offset from the most stable computed form, the calculation gives 0.00 eV per formula unit.